# YTeAu2

A geometry-optimized YTeAu2 structure (PBEsol, the Alexandria database).

Results
Total magnetization: 0.000 μB per formula unit
E: -5.0918 eV/atom

CIF file:
```
data_YTeAu2
_chemical_formula_sum 'Y2 Te2 Au4'
_space_group_name_H-M_alt 'I m m 2'
_space_group_IT_number 44
_cell_length_a 4.135
_cell_length_b 4.295
_cell_length_c 9.933
_cell_angle_alpha 90.00
_cell_angle_beta 90.00
_cell_angle_gamma 90.00
loop_
_space_group_symop_operation_xyz
'x,y,z'
'-x,-y,z'
'-x,y,z'
'x,-y,z'
'x+1/2,y+1/2,z+1/2'
'-x+1/2,-y+1/2,z+1/2'
'-x+1/2,y+1/2,z+1/2'
'x+1/2,-y+1/2,z+1/2'
loop_
_atom_site_label
_atom_site_type_symbol
_atom_site_fract_x
_atom_site_fract_y
_atom_site_fract_z
Y1 Y 0.000 0.000 0.000
Te1 Te 0.000 0.500 0.239
Au1 Au 0.000 0.000 0.453
Au2 Au 0.000 0.500 0.744
```